A relaxed LiYTi2Cd crystal, computed with PBE.

Cell lengths 5.2017, 5.2017, 4.6720 Å; angles 90.00, 90.00, 90.00 degrees
Space group P4/mmm (No. 123)
Inequivalent atoms, fractional coordinates:
Li 0.0000 0.0000 0.0000 [1 per cell]
Y 0.5000 0.5000 0.0000 [1 per cell]
Ti 0.0000 0.5000 0.5000 [2 per cell]
Cd 0.0000 0.0000 0.5000 [1 per cell]

Output
The formation energy comes out at 0.715 eV per atom. The calculation puts the density of states at the Fermi level at 8.03 states/eV/cell. For the volume, the calculation gives 25.283 A^3/atom.